[1]
A crystal of ZrNiHg2O relaxed with PBEsol. Source: the Alexandria database, functional meta-GGA SCAN.

Calculated values
Formation energy from raw total energies (eV per formula unit): 1.6
Density of states at the Fermi level (states/eV/f.u.): 1.6
Calculated volume (Å³ per atom): 20.400

Geometry as CIF:
```
data_ZrNiHg2O
_cell_length_a 4.697
_cell_length_b 4.697
_cell_length_c 4.624
_cell_angle_alpha 90.00
_cell_angle_beta 90.00
_cell_angle_gamma 90.00
_space_group_name_H-M_alt 'P 4/m m m'
_space_group_IT_number 123
_space_group_name_Hall '-P 4 2'
loop_
_atom_site_label
_atom_site_type_symbol
_atom_site_fract_x
_atom_site_fract_y
_atom_site_fract_z
Zr1 Zr 0.000 0.000 0.000
Ni1 Ni 0.000 0.000 0.500
Hg1 Hg 0.000 0.500 0.500
O1 O 0.500 0.500 0.000
```

---

[2]
A crystal of NiHgOs relaxed with PBEsol. Source: the Alexandria database, functional meta-GGA SCAN.

Calculated values
Energy relative to the elements (eV per atom): 0.5238
Density of states at the Fermi level (states/eV/f.u.): 2.1
Calculated volume (Å³ per atom): 14.741
Energy above the most stable polymorph in this dataset (kJ/mol of formula units): 0

Geometry as CIF:
```
data_NiHgOs
_cell_length_a 2.7794
_cell_length_b 2.7794
_cell_length_c 6.6099
_cell_angle_alpha 90.00
_cell_angle_beta 90.00
_cell_angle_gamma 120.00
_space_group_name_H-M_alt 'P 3 m 1'
_space_group_IT_number 156
loop_
_space_group_symop_operation_xyz
'x,y,z'
'-y,x-y,z'
'-x+y,-x,z'
'-y,-x,z'
'-x+y,y,z'
'x,x-y,z'
loop_
_atom_site_label
_atom_site_type_symbol
_atom_site_fract_x
_atom_site_fract_y
_atom_site_fract_z
Ni1 Ni 0.0000 0.0000 0.0000
Hg1 Hg 0.6667 0.3333 0.3369
Os1 Os 0.3333 0.6667 0.7147
```